# 1
CaFeCl2 | PBEsol | relaxed

## Properties
Space group: C2/m
Magnetization, Bohr magnetons per cell: 2.59
Formation energy (no corrections), eV per atom: -0.585

a b c (Å): 5.2247 5.2247 3.8265
angles (deg): 111.19 111.19 100.97
Fractional coordinates of all 4 atoms:
1 Ca 0.0000 0.0000 0.0000
2 Fe 0.5000 0.5000 0.0000
3 Cl 0.0000 0.5000 0.0000
4 Cl 0.5000 0.0000 0.0000

***

# 2
ScCu2As | PBEsol | relaxed

## Properties
ΔH_f (0 K), eV/atom: -0.400
Space group: R3m
Magnetization, Bohr magnetons per cell: 0.00

a b c (Å): 5.0188 5.0188 5.0188
angles (deg): 46.91 46.91 46.91
Fractional coordinates of all 4 atoms:
1 Sc 0.0000 0.0000 0.0000
2 Cu 0.4996 0.4996 0.4996
3 Cu 0.7780 0.7780 0.7780
4 As 0.2178 0.2178 0.2178

***

# 3
LaNi2Hg | PBEsol | relaxed

## Properties
ΔH_f (0 K), eV/atom: 0.116
Space group: F-43m
Magnetization, Bohr magnetons per cell: 0.00

a b c (Å): 4.7500 4.7500 4.7500
angles (deg): 60.00 60.00 60.00
Fractional coordinates of all 4 atoms:
1 La 0.0000 0.0000 0.0000
2 Ni 0.5000 0.5000 0.5000
3 Ni 0.7500 0.7500 0.7500
4 Hg 0.2500 0.2500 0.2500

***

# 4
ScAl3Se | PBEsol | relaxed

## Properties
Space group: Pm-3m
Magnetization, Bohr magnetons per cell: 1.46
Formation energy (no corrections), eV per atom: 1.059

a b c (Å): 5.2579 5.2579 5.2579
angles (deg): 90.00 90.00 90.00
Fractional coordinates of all 5 atoms:
1 Sc 0.0000 0.0000 0.0000
2 Al 0.0000 0.0000 0.5000
3 Al 0.0000 0.5000 0.0000
4 Al 0.5000 0.0000 0.0000
5 Se 0.5000 0.5000 0.5000

***

# 5
CrAgSN2 | PBEsol | relaxed

## Properties
Space group: P4/mmm
Magnetization, Bohr magnetons per cell: 6.74
Formation energy (no corrections), eV per atom: 1.829

a b c (Å): 3.8780 3.8780 5.3050
angles (deg): 90.00 90.00 90.00
Fractional coordinates of all 5 atoms:
1 Cr 0.0000 0.0000 0.0000
2 Ag 0.5000 0.5000 0.5000
3 S 0.5000 0.5000 0.0000
4 N 0.0000 0.5000 0.5000
5 N 0.5000 0.0000 0.5000

***

# 6
SiTc2Ru | PBEsol | relaxed

## Properties
Space group: P2/m
Magnetization, Bohr magnetons per cell: 0.00
Formation energy (no corrections), eV per atom: -0.142

a b c (Å): 2.7396 3.9367 5.0579
angles (deg): 90.00 100.99 90.00
Fractional coordinates of all 4 atoms:
1 Si 0.0000 0.0000 0.0000
2 Tc 0.4302 0.5000 0.2405
3 Tc 0.5698 0.5000 0.7595
4 Ru 0.0000 0.0000 0.5000

***

# 7
Ca2ZrTe | PBEsol | relaxed

## Properties
Space group: F-43m
Magnetization, Bohr magnetons per cell: 0.00
Formation energy (no corrections), eV per atom: -0.019

a b c (Å): 5.2232 5.2232 5.2232
angles (deg): 60.00 60.00 60.00
Fractional coordinates of all 4 atoms:
1 Ca 0.0000 0.0000 0.0000
2 Ca 0.2500 0.2500 0.2500
3 Zr 0.5000 0.5000 0.5000
4 Te 0.7500 0.7500 0.7500

***

# 8
Ca2AsAu | PBEsol | relaxed

## Properties
ΔH_f (0 K), eV/atom: -0.952
Space group: Amm2
Magnetization, Bohr magnetons per cell: 0.00

a b c (Å): 4.3453 5.8106 5.8106
angles (deg): 40.73 90.00 90.00
Fractional coordinates of all 4 atoms:
1 Ca 0.0000 0.0000 0.0000
2 Ca 0.5000 0.2781 0.2781
3 As 0.0000 0.7215 0.7215
4 Au 0.5000 0.5581 0.5581

***

# 9
Ca2MoRu | PBEsol | relaxed

## Properties
ΔH_f (0 K), eV/atom: 0.766
Space group: I4/mmm
Magnetization, Bohr magnetons per cell: 0.00

a b c (Å): 5.6435 5.6435 5.6435
angles (deg): 139.47 139.47 58.66
Fractional coordinates of all 4 atoms:
1 Ca 0.2500 0.7500 0.5000
2 Ca 0.7500 0.2500 0.5000
3 Mo 0.0000 0.0000 0.0000
4 Ru 0.5000 0.5000 0.0000

***

# 10
Ba2YTc | PBEsol | relaxed

## Properties
ΔH_f (0 K), eV/atom: 0.423
Space group: Pm
Magnetization, Bohr magnetons per cell: 0.00

a b c (Å): 3.7905 3.9760 9.4368
angles (deg): 90.00 98.90 90.00
Fractional coordinates of all 4 atoms:
1 Ba 0.0000 0.0000 0.0000
2 Ba 0.3758 0.5000 0.6094
3 Y 0.7775 0.0000 0.3397
4 Tc 0.2651 0.5000 0.2487

***

# 11
Ta2InPtSe | PBEsol | relaxed

## Properties
Space group: P4/mmm
Magnetization, Bohr magnetons per cell: 0.00
Formation energy (no corrections), eV per atom: 1.122

a b c (Å): 4.9152 4.9152 4.8867
angles (deg): 90.00 90.00 90.00
Fractional coordinates of all 5 atoms:
1 Ta 0.0000 0.5000 0.0000
2 Ta 0.5000 0.0000 0.0000
3 In 0.0000 0.0000 0.5000
4 Pt 0.5000 0.5000 0.0000
5 Se 0.5000 0.5000 0.5000

***

# 12
Li2NbP2O8 | PBEsol | relaxed

## Properties
Space group: Pc
Magnetization, Bohr magnetons per cell: 2.00
Formation energy (no corrections), eV per atom: -2.307

a b c (Å): 5.9327 4.9100 9.9627
angles (deg): 90.00 90.00 90.00
Fractional coordinates of all 26 atoms:
1 Li 0.0000 0.1897 0.0000
2 Li 0.0000 0.8103 0.5000
3 Li 0.9980 0.2307 0.3227
4 Li 0.9980 0.7693 0.8227
5 Nb 0.4995 0.3260 0.7867
6 Nb 0.4995 0.6740 0.2867
7 P 0.9995 0.3218 0.6469
8 P 0.9995 0.6782 0.1469
9 P 0.4996 0.0962 0.4764
10 P 0.4996 0.9038 0.9764
11 O 0.2032 0.4635 0.7245
12 O 0.2032 0.5365 0.2245
13 O 0.2960 0.0542 0.9087
14 O 0.2960 0.9458 0.4087
15 O 0.4997 0.0516 0.6289
16 O 0.4996 0.4016 0.4451
17 O 0.4996 0.5984 0.9451
18 O 0.4997 0.9484 0.1289
19 O 0.7034 0.0539 0.9086
20 O 0.7034 0.9461 0.4086
21 O 0.7960 0.4635 0.7246
22 O 0.7960 0.5365 0.2246
23 O 0.9995 0.0171 0.6660
24 O 0.9995 0.4178 0.5027
25 O 0.9995 0.5822 0.0027
26 O 0.9995 0.9829 0.1660

***

# 13
ZnPbW2 | PBEsol | relaxed

## Properties
ΔH_f (0 K), eV/atom: 0.769
Space group: P2/m
Magnetization, Bohr magnetons per cell: 0.00

a b c (Å): 2.8768 4.5980 5.3145
angles (deg): 90.00 95.56 90.00
Fractional coordinates of all 4 atoms:
1 Zn 0.0000 0.0000 0.0000
2 Pb 0.5000 0.0000 0.5000
3 W 0.2971 0.5000 0.7799
4 W 0.7029 0.5000 0.2201

***

# 14
Sb3WBr | PBEsol | relaxed

## Properties
Space group: Pm-3m
Magnetization, Bohr magnetons per cell: 2.50
Formation energy (no corrections), eV per atom: 1.894

a b c (Å): 5.2501 5.2501 5.2501
angles (deg): 90.00 90.00 90.00
Fractional coordinates of all 5 atoms:
1 Sb 0.0000 0.0000 0.5000
2 Sb 0.0000 0.5000 0.0000
3 Sb 0.5000 0.0000 0.0000
4 W 0.5000 0.5000 0.5000
5 Br 0.0000 0.0000 0.0000

***

# 15
Mo2AsOs | PBEsol | relaxed

## Properties
ΔH_f (0 K), eV/atom: 0.130
Space group: C2/m
Magnetization, Bohr magnetons per cell: 0.00

a b c (Å): 2.8190 2.8190 8.8101
angles (deg): 99.34 99.34 59.64
Fractional coordinates of all 4 atoms:
1 Mo 0.2485 0.2485 0.2487
2 Mo 0.7515 0.7515 0.7513
3 As 0.5000 0.5000 0.0000
4 Os 0.0000 0.0000 0.5000

***

# 16
YZr2Tc | PBEsol | relaxed

## Properties
ΔH_f (0 K), eV/atom: 0.074
Space group: Pm
Magnetization, Bohr magnetons per cell: 0.00

a b c (Å): 3.2109 4.4702 6.0934
angles (deg): 90.00 104.58 90.00
Fractional coordinates of all 4 atoms:
1 Y 0.0000 0.0000 0.0000
2 Zr 0.3566 0.0000 0.5431
3 Zr 0.6922 0.5000 0.3042
4 Tc 0.1762 0.5000 0.7376

***

# 17
TbMg | PBEsol | relaxed

## Properties
ΔH_f (0 K), eV/atom: -0.074
Space group: Pm-3m
Magnetization, Bohr magnetons per cell: 0.00

a b c (Å): 3.7465 3.7465 3.7465
angles (deg): 90.00 90.00 90.00
Fractional coordinates of all 2 atoms:
1 Tb 0.0000 0.0000 0.0000
2 Mg 0.5000 0.5000 0.5000

***

# 18
La2BeBr | PBEsol | relaxed

## Properties
Space group: Amm2
Magnetization, Bohr magnetons per cell: 0.00
Formation energy (no corrections), eV per atom: -0.463

a b c (Å): 4.9368 5.9879 5.9879
angles (deg): 34.66 90.00 90.00
Fractional coordinates of all 4 atoms:
1 La 0.0000 0.0000 0.0000
2 La 0.5000 0.2489 0.2489
3 Be 0.5000 0.5018 0.5018
4 Br 0.0000 0.7379 0.7379

***

# 19
Be3MoS | PBEsol | relaxed

## Properties
Space group: Pm-3m
Magnetization, Bohr magnetons per cell: 0.00
Formation energy (no corrections), eV per atom: 1.690

a b c (Å): 4.2835 4.2835 4.2835
angles (deg): 90.00 90.00 90.00
Fractional coordinates of all 5 atoms:
1 Be 0.0000 0.0000 0.5000
2 Be 0.0000 0.5000 0.0000
3 Be 0.5000 0.0000 0.0000
4 Mo 0.0000 0.0000 0.0000
5 S 0.5000 0.5000 0.5000

***

# 20
Nb3RhN | PBEsol | relaxed

## Properties
Space group: Pm-3m
Magnetization, Bohr magnetons per cell: 0.00
Formation energy (no corrections), eV per atom: -0.610

a b c (Å): 4.1927 4.1927 4.1927
angles (deg): 90.00 90.00 90.00
Fractional coordinates of all 5 atoms:
1 Nb 0.0000 0.0000 0.5000
2 Nb 0.0000 0.5000 0.0000
3 Nb 0.5000 0.0000 0.0000
4 Rh 0.5000 0.5000 0.5000
5 N 0.0000 0.0000 0.0000